(1)
Dy12YHo2 GGA-PBE optimized geometry; symmetry = C2/m (12); magnetization = 0.000 μB per atom; formation energy = 116 meV/atom
1.0
3.549 -5.568 0.000
3.549 5.568 0.000
-1.762 0.000 24.236
Dy Y Ho
24 2 4
direct
0.059 0.540 0.201
0.077 0.587 0.330
0.136 0.640 0.555
0.145 0.145 0.573
0.214 0.214 0.857
0.232 0.732 0.926
0.268 0.768 0.074
0.283 0.283 0.132
0.358 0.358 0.422
0.360 0.864 0.445
0.413 0.923 0.670
0.460 0.941 0.799
0.540 0.059 0.201
0.587 0.077 0.330
0.640 0.136 0.555
0.642 0.642 0.578
0.717 0.717 0.868
0.732 0.232 0.926
0.768 0.268 0.074
0.786 0.786 0.143
0.855 0.855 0.427
0.864 0.360 0.445
0.923 0.413 0.670
0.941 0.460 0.799
0.249 0.249 0.995
0.751 0.751 0.005
0.072 0.072 0.272
0.438 0.438 0.728
0.562 0.562 0.272
0.928 0.928 0.728

---

(2)
La2HfMg GGA-PBE optimized geometry; symmetry = P4/mmm (123); magnetization = 0.000 μB per atom; formation energy = 136 meV/atom
1.0
5.725 0.000 0.000
0.000 5.725 0.000
0.000 0.000 3.598
La Hf Mg
2 1 1
direct
0.000 0.500 0.000
0.500 0.000 0.000
0.000 0.000 0.500
0.500 0.500 0.500

---

(3)
CoS3Cl GGA-PBE optimized geometry; symmetry = P-1 (2); magnetization = 0.000 μB per atom; offset from the most stable computed form = 0.0 kJ/mol of atoms
1.0
3.369 0.000 0.000
-1.602 5.322 0.000
-1.606 -1.296 12.846
Co S Cl
2 6 2
direct
0.055 0.276 0.244
0.945 0.724 0.756
0.115 0.671 0.307
0.204 0.144 0.787
0.368 0.667 0.645
0.632 0.333 0.355
0.796 0.856 0.213
0.885 0.329 0.693
0.494 0.270 0.120
0.506 0.730 0.880

---

(4)
Fe2IrOs GGA-PBE optimized geometry; symmetry = Imm2 (44); magnetization = 1.305 μB per atom; formation energy = 128 meV/atom
1.0
-1.442 2.134 4.255
1.442 -2.134 4.255
1.442 2.134 -4.255
Fe Ir Os
2 1 1
direct
0.000 0.000 0.000
0.777 0.277 0.500
0.254 0.754 0.500
0.527 0.527 0.000

---

Number 1: VASP energy -4.607 eV/atom. Number 2: VASP energy -5.215 eV/atom. Number 3: VASP energy -4.458 eV/atom. Number 4: VASP energy -9.126 eV/atom.